1.
DFT (meta-GGA SCAN) results for a PBEsol-optimized structure of LiTaNbCd2.

Cell lengths 4.2994, 4.2994, 4.6814 Å; angles 90.00, 90.00, 90.00 degrees
Element x y z (fractional)
Cd  0.0000  0.5000  0.0000
Cd  0.5000  0.0000  0.0000
Nb  0.0000  0.0000  0.5000
Li  0.0000  0.0000  0.0000
Ta  0.5000  0.5000  0.5000

The formation enthalpy at 0 K is 0.76 eV/atom.

***

2.
DFT (meta-GGA SCAN) results for a PBEsol-optimized structure of NaAsRuBr2.

Cell lengths 4.5469, 5.2866, 5.2866 Å; angles 90.00, 90.00, 90.00 degrees
Element x y z (fractional)
Br  0.0000  0.5000  0.0000
Br  0.0000  0.0000  0.5000
Ru  0.0000  0.0000  0.0000
As  0.5000  0.0000  0.0000
Na  0.5000  0.5000  0.5000

***

Calculated values (eV per atom) of final energy for the records, taken in order: -31.8218; -19.9024.